Arrangement w

DFT (PBE-GGA) results for an optimized crystal structure of LaPbI3.

a b c (Å): 6.269 6.269 6.269
angles (deg): 90.00 90.00 90.00
Space group Pm-3m (No. 221)
One atom of each set of equivalent atoms:
La 0.000 0.000 0.000 x1
Pb 0.500 0.500 0.500 x1
I 0.000 0.000 0.500 x3

Arrangement x

DFT (PBE-GGA) results for an optimized crystal structure of LaPbI3.

a b c (Å): 6.215 6.215 6.215
angles (deg): 90.00 90.00 90.00
Space group Pm-3m (No. 221)
One atom of each set of equivalent atoms:
La 0.000 0.000 0.000 x1
Pb 0.500 0.500 0.500 x1
I 0.000 0.500 0.500 x3

Least stable = arrangement x

Arrangement w

DFT (PBE-GGA) results for an optimized crystal structure of LaPbI.

a b c (Å): 8.654 5.005 11.522
angles (deg): 90.00 90.73 90.00
Space group C2/m (No. 12)
One atom of each set of equivalent atoms:
La 0.003 0.000 0.185 x4
Pb 0.166 0.500 0.970 x4
I 0.172 0.500 0.342 x4

Arrangement x

DFT (PBE-GGA) results for an optimized crystal structure of LaPbI.

a b c (Å): 4.519 4.669 11.987
angles (deg): 90.00 100.49 90.00
Space group P2_1/m (No. 11)
One atom of each set of equivalent atoms:
La 0.080 0.250 0.166 x2
Pb 0.458 0.250 0.913 x2
I 0.326 0.750 0.640 x2

Least stable = arrangement w

Arrangement w

DFT (PBE-GGA) results for an optimized crystal structure of LaTe2PbI.

a b c (Å): 5.949 5.949 5.837
angles (deg): 90.00 90.00 90.00
Space group P4/mmm (No. 123)
One atom of each set of equivalent atoms:
La 0.000 0.000 0.000 x1
Te 0.000 0.500 0.500 x2
Pb 0.500 0.500 0.500 x1
I 0.500 0.500 0.000 x1

Arrangement x

DFT (PBE-GGA) results for an optimized crystal structure of LaTe2PbI.

a b c (Å): 6.199 6.199 6.048
angles (deg): 90.00 90.00 90.00
Space group P4/mmm (No. 123)
One atom of each set of equivalent atoms:
La 0.000 0.000 0.000 x1
Te 0.000 0.500 0.000 x2
Pb 0.500 0.500 0.500 x1
I 0.000 0.000 0.500 x1

Least stable = arrangement w

Arrangement w

DFT (PBE-GGA) results for an optimized crystal structure of LaPd3I.

a b c (Å): 5.264 5.264 5.264
angles (deg): 90.00 90.00 90.00
Space group Pm-3m (No. 221)
One atom of each set of equivalent atoms:
La 0.000 0.000 0.000 x1
Pd 0.000 0.000 0.500 x3
I 0.500 0.500 0.500 x1

Arrangement x

DFT (PBE-GGA) results for an optimized crystal structure of LaPd3I.

a b c (Å): 5.050 5.050 5.050
angles (deg): 90.00 90.00 90.00
Space group Pm-3m (No. 221)
One atom of each set of equivalent atoms:
La 0.000 0.000 0.000 x1
Pd 0.000 0.500 0.500 x3
I 0.500 0.500 0.500 x1

Least stable = arrangement w

Arrangement w

DFT (PBE-GGA) results for an optimized crystal structure of La2PdI2.

a b c (Å): 7.909 7.909 5.222
angles (deg): 90.00 90.00 90.00
Space group P4/mbm (No. 127)
One atom of each set of equivalent atoms:
La 0.169 0.331 0.000 x4
Pd 0.000 0.000 0.000 x2
I 0.158 0.658 0.500 x4

Arrangement x

DFT (PBE-GGA) results for an optimized crystal structure of La2PdI2.

a b c (Å): 4.3084 4.3084 35.5664
angles (deg): 90.00 90.00 120.00
Space group R-3m (No. 166, hexagonal axes)
One atom of each set of equivalent atoms:
La 0.0000 0.0000 0.1188 x6
Pd 0.0000 0.0000 0.5000 x3
I 0.0000 0.0000 0.2770 x6

Least stable = arrangement w

Arrangement w

DFT (PBE-GGA) results for an optimized crystal structure of LaPdI2.

a b c (Å): 7.683 7.683 7.683
angles (deg): 90.00 90.00 90.00
Space group Fm-3m (No. 225)
One atom of each set of equivalent atoms:
La 0.000 0.000 0.000 x4
Pd 0.000 0.000 0.500 x4
I 0.250 0.250 0.250 x8

Arrangement x

DFT (PBE-GGA) results for an optimized crystal structure of LaPdI2.

a b c (Å): 4.1850 4.1850 27.9891
angles (deg): 90.00 90.00 120.00
Space group R-3m (No. 166, hexagonal axes)
One atom of each set of equivalent atoms:
La 0.0000 0.0000 0.0000 x3
Pd 0.0000 0.0000 0.5000 x3
I 0.0000 0.0000 0.1099 x6

Arrangement y

DFT (PBE-GGA) results for an optimized crystal structure of LaPdI2.

a b c (Å): 7.046 7.046 12.293
angles (deg): 90.00 90.00 90.00
Space group I-42d (No. 122)
One atom of each set of equivalent atoms:
La 0.000 0.000 0.000 x4
Pd 0.000 0.000 0.500 x4
I 0.199 0.250 0.625 x8

Least stable = arrangement x

Arrangement w

DFT (PBE-GGA) results for an optimized crystal structure of LaPmI4.

a b c (Å): 6.319 6.319 12.268
angles (deg): 90.00 90.00 90.00
Space group I-4m2 (No. 119)
One atom of each set of equivalent atoms:
La 0.000 0.000 0.000 x2
Pm 0.000 0.500 0.750 x2
I 0.000 0.000 0.266 x4
I 0.000 0.500 0.011 x4

Arrangement x

DFT (PBE-GGA) results for an optimized crystal structure of LaPmI4.

a b c (Å): 7.403 4.269 8.577
angles (deg): 90.00 106.48 90.00
Space group P2/m (No. 10)
One atom of each set of equivalent atoms:
La 0.000 0.000 0.000 x1
Pm 0.500 0.500 0.000 x1
I 0.256 0.500 0.252 x2
I 0.258 0.000 0.753 x2

Least stable = arrangement w

Arrangement w

DFT (PBE-GGA) results for an optimized crystal structure of LaPmI3.

a b c (Å): 8.093 4.028 12.684
angles (deg): 90.00 107.50 90.00
Space group P2_1/m (No. 11)
One atom of each set of equivalent atoms:
La 0.130 0.250 0.173 x2
Pm 0.120 0.250 0.671 x2
I 0.196 0.250 0.440 x2
I 0.199 0.250 0.932 x2
I 0.465 0.750 0.245 x2

Arrangement x

DFT (PBE-GGA) results for an optimized crystal structure of LaPmI3.

a b c (Å): 5.556 16.545 7.821
angles (deg): 90.00 90.00 90.00
Space group Cmmm (No. 65)
One atom of each set of equivalent atoms:
La 0.000 0.162 0.000 x4
Pm 0.000 0.166 0.500 x4
I 0.000 0.000 0.257 x4
I 0.000 0.322 0.253 x8

Least stable = arrangement x

Arrangement w

DFT (PBE-GGA) results for an optimized crystal structure of LaPmI6.

a b c (Å): 7.760 14.520 7.761
angles (deg): 90.00 107.52 90.00
Space group C2/m (No. 12)
One atom of each set of equivalent atoms:
La 0.000 0.000 0.000 x2
Pm 0.000 0.500 0.500 x2
I 0.245 0.351 0.744 x8
I 0.247 0.500 0.251 x4

Arrangement x

DFT (PBE-GGA) results for an optimized crystal structure of LaPmI6.

a b c (Å): 7.8371 7.8371 21.3978
angles (deg): 90.00 90.00 120.00
Space group R-3 (No. 148, hexagonal axes)
One atom of each set of equivalent atoms:
La 0.0000 0.0000 0.0000 x3
Pm 0.0000 0.0000 0.5000 x3
I 0.0006 0.6724 0.5826 x18

Least stable = arrangement x

Arrangement w

DFT (PBE-GGA) results for an optimized crystal structure of La2PmI6.

a b c (Å): 17.539 4.303 11.697
angles (deg): 90.00 115.40 90.00
Space group C2/m (No. 12)
One atom of each set of equivalent atoms:
La 0.151 0.000 0.310 x4
Pm 0.000 0.500 0.000 x2
I 0.008 0.500 0.282 x4
I 0.143 0.000 0.036 x4
I 0.194 0.000 0.615 x4

Arrangement x

DFT (PBE-GGA) results for an optimized crystal structure of La2PmI6.

a b c (Å): 8.107 8.107 12.240
angles (deg): 90.00 90.00 90.00
Space group P4_2/mnm (No. 136)
One atom of each set of equivalent atoms:
La 0.000 0.000 0.170 x4
Pm 0.000 0.000 0.500 x2
I 0.215 0.215 0.337 x8
I 0.219 0.219 0.000 x4

Least stable = arrangement x

Arrangement w

DFT (PBE-GGA) results for an optimized crystal structure of LaPm2I6.

a b c (Å): 7.3646 7.3646 8.1940
angles (deg): 90.00 90.00 120.00
Space group P-31m (No. 162)
One atom of each set of equivalent atoms:
La 0.0000 0.0000 0.0000 x1
Pm 0.3333 0.6667 0.0000 x2
I 0.0000 0.3395 0.2496 x6

Arrangement x

DFT (PBE-GGA) results for an optimized crystal structure of LaPm2I6.

a b c (Å): 7.7720 7.7720 21.6789
angles (deg): 90.00 90.00 120.00
Space group R3 (No. 146, hexagonal axes)
One atom of each set of equivalent atoms:
La 0.0000 0.0000 0.0000 x3
Pm 0.0000 0.0000 0.1676 x3
Pm 0.0000 0.0000 0.3321 x3
I 0.0118 0.3405 0.4191 x9
I 0.0231 0.6746 0.2496 x9

Least stable = arrangement x

Arrangement w

DFT (PBE-GGA) results for an optimized crystal structure of LaPmI.

a b c (Å): 5.5124 5.5124 3.9019
angles (deg): 90.00 90.00 120.00
Space group P3m1 (No. 156)
One atom of each set of equivalent atoms:
La 0.0000 0.0000 0.0000 x1
Pm 0.3333 0.6667 0.4993 x1
I 0.6667 0.3333 0.4974 x1

Arrangement x

DFT (PBE-GGA) results for an optimized crystal structure of LaPmI.

a b c (Å): 3.788 3.788 14.567
angles (deg): 90.00 90.00 90.00
Space group I4mm (No. 107)
One atom of each set of equivalent atoms:
La 0.000 0.000 0.000 x2
Pm 0.000 0.000 0.680 x2
I 0.000 0.000 0.336 x2

Least stable = arrangement w